# TaWCl2 | the Alexandria database | PBE | optimized geometry
# E_form (uncorrected) = 0.62 eV per atom
# Energy relative to the lowest polymorph listed for this composition = 1039 meV per atom
data_TaWCl2
_chemical_formula_sum 'Ta1 W1 Cl2'
_symmetry_space_group_name_H-M 'P 1'
_symmetry_Int_Tables_number 1
_cell_length_a 5.4451
_cell_length_b 5.4451
_cell_length_c 5.4451
_cell_angle_alpha 149.93
_cell_angle_beta 119.01
_cell_angle_gamma 69.49
loop_
_symmetry_equiv_pos_as_xyz
'x,y,z'
loop_
_atom_site_label
_atom_site_type_symbol
_atom_site_fract_x
_atom_site_fract_y
_atom_site_fract_z
_atom_site_occupancy
Ta1 Ta 0.7500 0.2500 0.5000 1
Cl1 Cl 0.0005 0.0005 0.0000 1
W1 W 0.2500 0.7500 0.5000 1
Cl2 Cl 0.4995 0.4995 0.0000 1

# Li7ZnCd2 | the Alexandria database | PBE | optimized geometry
# Energy relative to the lowest polymorph listed for this composition = 266 meV per atom
# Formation energy from the elements = 0.19 eV per atom
data_Li7ZnCd2
_chemical_formula_sum 'Li7 Zn1 Cd2'
_symmetry_space_group_name_H-M 'P 1'
_symmetry_Int_Tables_number 1
_cell_length_a 6.7149
_cell_length_b 6.7149
_cell_length_c 6.7149
_cell_angle_alpha 60.00
_cell_angle_beta 60.00
_cell_angle_gamma 60.00
loop_
_symmetry_equiv_pos_as_xyz
'x,y,z'
loop_
_atom_site_label
_atom_site_type_symbol
_atom_site_fract_x
_atom_site_fract_y
_atom_site_fract_z
_atom_site_occupancy
Li1 Li 0.7504 0.2496 0.2496 1
Zn1 Zn 0.0000 0.0000 0.0000 1
Li2 Li 0.7504 0.7504 0.2496 1
Li3 Li 0.2496 0.7504 0.7504 1
Li4 Li 0.7504 0.2496 0.7504 1
Cd1 Cd 0.2500 0.2500 0.2500 1
Li5 Li 0.2496 0.7504 0.2496 1
Cd2 Cd 0.7500 0.7500 0.7500 1
Li6 Li 0.2496 0.2496 0.7504 1
Li7 Li 0.5000 0.5000 0.5000 1

Repeat the first record exactly.
# TaWCl2 | the Alexandria database | PBE | optimized geometry
# E_form (uncorrected) = 0.62 eV per atom
# Energy relative to the lowest polymorph listed for this composition = 1039 meV per atom
data_TaWCl2
_chemical_formula_sum 'Ta1 W1 Cl2'
_symmetry_space_group_name_H-M 'P 1'
_symmetry_Int_Tables_number 1
_cell_length_a 5.4451
_cell_length_b 5.4451
_cell_length_c 5.4451
_cell_angle_alpha 149.93
_cell_angle_beta 119.01
_cell_angle_gamma 69.49
loop_
_symmetry_equiv_pos_as_xyz
'x,y,z'
loop_
_atom_site_label
_atom_site_type_symbol
_atom_site_fract_x
_atom_site_fract_y
_atom_site_fract_z
_atom_site_occupancy
Ta1 Ta 0.7500 0.2500 0.5000 1
Cl1 Cl 0.0005 0.0005 0.0000 1
W1 W 0.2500 0.7500 0.5000 1
Cl2 Cl 0.4995 0.4995 0.0000 1

Question: energy relative to the lowest polymorph listed for this composition of number 1 (TaWCl2)?
Answer: 1039 meV per atom

Question: Among the records above, which one has the lowest energy relative to the lowest polymorph listed for this composition?
Answer: Li7ZnCd2